Entry 1:
Ba2HoInTe5 | PBE | optimized geometry

```
data_Ba2HoInTe5
_cell_length_a 10.5364
_cell_length_b 10.5364
_cell_length_c 14.3120
_cell_angle_alpha 90.00
_cell_angle_beta 90.00
_cell_angle_gamma 154.91
_symmetry_space_group_name_H-M 'P 1'
_symmetry_Int_Tables_number 1
_symmetry_space_group_name_Hall 'P 1'
loop_
_atom_site_label
_atom_site_type_symbol
_atom_site_fract_x
_atom_site_fract_y
_atom_site_fract_z
Ba1 Ba 0.1199 0.8801 0.5000
Ba2 Ba 0.1305 0.8695 0.1330
Ba3 Ba 0.8695 0.1305 0.6330
Ba4 Ba 0.8801 0.1199 0.0000
Ho1 Ho 0.2093 0.7907 0.8364
Ho2 Ho 0.7907 0.2093 0.3364
In1 In 0.4426 0.5574 0.2538
In2 In 0.5574 0.4426 0.7538
Te1 Te 0.0517 0.9483 0.8726
Te2 Te 0.2916 0.7084 0.4785
Te3 Te 0.3094 0.6906 0.1847
Te4 Te 0.3543 0.6457 0.8191
Te5 Te 0.4965 0.5035 0.5815
Te6 Te 0.5035 0.4965 0.0815
Te7 Te 0.6457 0.3543 0.3191
Te8 Te 0.6906 0.3094 0.6847
Te9 Te 0.7084 0.2916 0.9785
Te10 Te 0.9483 0.0517 0.3726
```

Summary:
- magnetic moment (Bohr magnetons per cell) = 0.00
- symmetry = No. 36
- formation energy (no corrections) (kJ/mol of atoms) = -125.2

***

Entry 2:
NdPdO3 | PBE | optimized geometry

```
data_NdPdO3
_cell_length_a 6.3490
_cell_length_b 6.3490
_cell_length_c 10.2768
_cell_angle_alpha 118.39
_cell_angle_beta 118.39
_cell_angle_gamma 49.93
_symmetry_space_group_name_H-M 'P 1'
_symmetry_Int_Tables_number 1
_symmetry_space_group_name_Hall 'P 1'
loop_
_atom_site_label
_atom_site_type_symbol
_atom_site_fract_x
_atom_site_fract_y
_atom_site_fract_z
Nd1 Nd 0.2344 0.2439 0.1301
Nd2 Nd 0.2439 0.2344 0.6301
Nd3 Nd 0.7561 0.7656 0.3699
Nd4 Nd 0.7656 0.7561 0.8699
Pd1 Pd 0.0013 0.9987 0.7500
Pd2 Pd 0.5000 0.5000 0.0000
Pd3 Pd 0.5000 0.5000 0.5000
Pd4 Pd 0.9987 0.0013 0.2500
O1 O 0.1597 0.6714 0.3270
O2 O 0.1648 0.6659 0.8241
O3 O 0.2963 0.3051 0.9475
O4 O 0.3051 0.2963 0.4475
O5 O 0.3286 0.8403 0.1730
O6 O 0.3341 0.8352 0.6759
O7 O 0.6659 0.1648 0.3241
O8 O 0.6714 0.1597 0.8270
O9 O 0.6949 0.7037 0.5525
O10 O 0.7037 0.6949 0.0525
O11 O 0.8352 0.3341 0.1759
O12 O 0.8403 0.3286 0.6730
```

Summary:
- magnetic moment (Bohr magnetons per cell) = 0.00
- symmetry = No. 15
- formation energy (no corrections) (kJ/mol of atoms) = -181.3

***

Entry 3:
CeDyPbAu | PBE | optimized geometry

```
data_CeDyPbAu
_cell_length_a 5.3462
_cell_length_b 5.3462
_cell_length_c 5.3462
_cell_angle_alpha 60.00
_cell_angle_beta 60.00
_cell_angle_gamma 60.00
_symmetry_space_group_name_H-M 'P 1'
_symmetry_Int_Tables_number 1
_symmetry_space_group_name_Hall 'P 1'
loop_
_atom_site_label
_atom_site_type_symbol
_atom_site_fract_x
_atom_site_fract_y
_atom_site_fract_z
Ce1 Ce 0.0000 0.0000 0.0000
Dy1 Dy 0.5000 0.5000 0.5000
Pb1 Pb 0.7500 0.7500 0.7500
Au1 Au 0.2500 0.2500 0.2500
```

Summary:
- magnetic moment (Bohr magnetons per cell) = 1.90
- symmetry = No. 216
- energy of formation from the pure elements (eV per atom) = -0.52

***

Entry 4:
Ca2Ag2Pt | PBE | optimized geometry

```
data_Ca2Ag2Pt
_cell_length_a 5.6394
_cell_length_b 5.6394
_cell_length_c 5.6394
_cell_angle_alpha 119.48
_cell_angle_beta 119.48
_cell_angle_gamma 90.90
_symmetry_space_group_name_H-M 'P 1'
_symmetry_Int_Tables_number 1
_symmetry_space_group_name_Hall 'P 1'
loop_
_atom_site_label
_atom_site_type_symbol
_atom_site_fract_x
_atom_site_fract_y
_atom_site_fract_z
Ca1 Ca 0.2500 0.7500 0.5000
Ca2 Ca 0.7500 0.2500 0.5000
Ag1 Ag 0.1625 0.1625 0.0000
Ag2 Ag 0.8375 0.8375 0.0000
Pt1 Pt 0.5000 0.5000 0.0000
```

Summary:
- energy above the most stable polymorph in this dataset (meV/atom) = 165
- magnetic moment (Bohr magnetons per cell) = 0.00
- symmetry = No. 139
- energy of formation from the pure elements (eV per atom) = -0.21

***

Entry 5:
K2NaH4Pd | PBE | optimized geometry

```
data_K2NaH4Pd
_cell_length_a 12.2505
_cell_length_b 11.0528
_cell_length_c 6.5820
_cell_angle_alpha 83.92
_cell_angle_beta 63.79
_cell_angle_gamma 32.29
_symmetry_space_group_name_H-M 'P 1'
_symmetry_Int_Tables_number 1
_symmetry_space_group_name_Hall 'P 1'
loop_
_atom_site_label
_atom_site_type_symbol
_atom_site_fract_x
_atom_site_fract_y
_atom_site_fract_z
K1 K 0.0517 0.0517 0.6983
K2 K 0.3017 0.3017 0.9483
K3 K 0.6983 0.6983 0.0517
K4 K 0.9483 0.9483 0.3017
Na1 Na 0.1250 0.1250 0.1250
Na2 Na 0.8750 0.8750 0.8750
H1 H 0.0582 0.6569 0.4805
H2 H 0.3043 0.4805 0.6569
H3 H 0.3431 0.9418 0.6957
H4 H 0.4805 0.3043 0.0582
H5 H 0.5195 0.6957 0.9418
H6 H 0.6569 0.0582 0.3043
H7 H 0.6957 0.5195 0.3431
H8 H 0.9418 0.3431 0.5195
Pd1 Pd 0.3750 0.3750 0.3750
Pd2 Pd 0.6250 0.6250 0.6250
```

Summary:
- calculated total energy (eV/atom) = -2.88
- magnetic moment (Bohr magnetons per cell) = 0.00
- symmetry = No. 70

***

Entry 6:
DyY2Er7 | PBE | optimized geometry

```
data_DyY2Er7
_cell_length_a 9.8027
_cell_length_b 9.8027
_cell_length_c 5.0259
_cell_angle_alpha 90.00
_cell_angle_beta 90.00
_cell_angle_gamma 128.46
_symmetry_space_group_name_H-M 'P 1'
_symmetry_Int_Tables_number 1
_symmetry_space_group_name_Hall 'P 1'
loop_
_atom_site_label
_atom_site_type_symbol
_atom_site_fract_x
_atom_site_fract_y
_atom_site_fract_z
Dy1 Dy 0.0000 0.0000 0.0000
Y1 Y 0.2972 0.7028 0.5000
Y2 Y 0.7028 0.2972 0.5000
Er1 Er 0.0764 0.2848 0.5000
Er2 Er 0.1906 0.8094 0.0000
Er3 Er 0.2848 0.0764 0.5000
Er4 Er 0.5000 0.5000 0.5000
Er5 Er 0.7152 0.9236 0.5000
Er6 Er 0.8094 0.1906 0.0000
Er7 Er 0.9236 0.7152 0.5000
```

Summary:
- energy above the most stable polymorph in this dataset (meV/atom) = 587
- magnetic moment (Bohr magnetons per cell) = 0.00
- symmetry = No. 65
- energy of formation from the pure elements (eV per atom) = 0.71

***

Entry 7:
Ba7Pt | PBE | optimized geometry

```
data_Ba7Pt
_cell_length_a 8.2902
_cell_length_b 8.2902
_cell_length_c 8.2902
_cell_angle_alpha 60.00
_cell_angle_beta 60.00
_cell_angle_gamma 60.00
_symmetry_space_group_name_H-M 'P 1'
_symmetry_Int_Tables_number 1
_symmetry_space_group_name_Hall 'P 1'
loop_
_atom_site_label
_atom_site_type_symbol
_atom_site_fract_x
_atom_site_fract_y
_atom_site_fract_z
Ba1 Ba 0.0000 0.0000 0.0000
Ba2 Ba 0.0000 0.0000 0.5000
Ba3 Ba 0.0000 0.5000 0.0000
Ba4 Ba 0.0000 0.5000 0.5000
Ba5 Ba 0.5000 0.0000 0.0000
Ba6 Ba 0.5000 0.0000 0.5000
Ba7 Ba 0.5000 0.5000 0.0000
Pt1 Pt 0.5000 0.5000 0.5000
```

Summary:
- magnetic moment (Bohr magnetons per cell) = 0.00
- symmetry = No. 225
- energy of formation from the pure elements (eV per atom) = 0.12

***

Entry 8:
K4SCl2 | PBE | optimized geometry

```
data_K4SCl2
_cell_length_a 9.3158
_cell_length_b 9.3158
_cell_length_c 9.3158
_cell_angle_alpha 143.01
_cell_angle_beta 143.01
_cell_angle_gamma 53.31
_symmetry_space_group_name_H-M 'P 1'
_symmetry_Int_Tables_number 1
_symmetry_space_group_name_Hall 'P 1'
loop_
_atom_site_label
_atom_site_type_symbol
_atom_site_fract_x
_atom_site_fract_y
_atom_site_fract_z
K1 K 0.0000 0.5000 0.5000
K2 K 0.1784 0.1784 0.0000
K3 K 0.5000 0.0000 0.5000
K4 K 0.8216 0.8216 0.0000
S1 S 0.0000 0.0000 0.0000
Cl1 Cl 0.3591 0.3591 0.0000
Cl2 Cl 0.6409 0.6409 0.0000
```

Summary:
- magnetic moment (Bohr magnetons per cell) = 0.00
- symmetry = No. 139
- formation energy (no corrections) (kJ/mol of atoms) = -135.9